w) KSiI2: optimized geometry, PBE.

It has space group I-42d (No. 122), with a = 6.728 Å, b = 6.728 Å, c = 17.450 Å, α = 90.00°, β = 90.00° and γ = 90.00°. Symmetry generates all atoms from K at (0.000, 0.000, 0.000), Si at (0.000, 0.000, 0.500) and I at (0.173, 0.250, 0.625).

***

x) KSiI2: optimized geometry, PBE.

It has space group Fm-3m (No. 225), with a = 8.123 Å, b = 8.123 Å, c = 8.123 Å, α = 90.00°, β = 90.00° and γ = 90.00°. Symmetry generates all atoms from K at (0.000, 0.000, 0.000), Si at (0.000, 0.000, 0.500) and I at (0.250, 0.250, 0.250).

***

What should be chosen as the most stable of them? Choose w).